(1)
! Rb3Tl3Hg2, relaxed, DFT PBE; values from VASP
! space-group type = No. 63
! VASP energy = -11.62 eV per formula unit
! formation enthalpy at 0 K = -0.127 eV per atom
&SYSTEM
  ibrav = 0, nat = 16, ntyp = 3
/
ATOMIC_SPECIES
Rb 85.47 Rb.upf
Tl 204.38 Tl.upf
Hg 200.59 Hg.upf
CELL_PARAMETERS angstrom
4.908 0.000 0.000
-2.454 6.834 0.000
0.000 0.000 19.565
ATOMIC_POSITIONS crystal
Rb 0.959 0.918 0.396
Rb 0.041 0.082 0.896
Rb 0.959 0.918 0.104
Rb 0.041 0.082 0.604
Rb 0.651 0.301 0.250
Rb 0.349 0.699 0.750
Tl 0.669 0.337 0.466
Tl 0.331 0.663 0.966
Tl 0.669 0.337 0.034
Tl 0.331 0.663 0.534
Tl 0.367 0.733 0.250
Tl 0.633 0.267 0.750
Hg 0.752 0.505 0.881
Hg 0.248 0.495 0.381
Hg 0.752 0.505 0.619
Hg 0.248 0.495 0.119

---

(2)
! RbTl3Hg2, relaxed, DFT PBE; values from VASP
! space-group type = No. 12
! VASP energy = -9.14 eV per formula unit
! formation enthalpy at 0 K = -0.078 eV per atom
&SYSTEM
  ibrav = 0, nat = 12, ntyp = 3
/
ATOMIC_SPECIES
Rb 85.47 Rb.upf
Tl 204.38 Tl.upf
Hg 200.59 Hg.upf
CELL_PARAMETERS angstrom
-2.747 -2.196 -0.952
2.541 -8.581 6.049
-5.615 0.248 9.225
ATOMIC_POSITIONS crystal
Rb 0.849 0.157 0.157
Rb 0.151 0.843 0.843
Tl 0.337 0.449 0.885
Tl 0.000 0.363 0.637
Tl 0.663 0.115 0.551
Tl 0.337 0.885 0.449
Tl 0.000 0.637 0.363
Tl 0.663 0.551 0.115
Hg 0.500 0.140 0.860
Hg 0.500 0.860 0.140
Hg 0.837 0.658 0.658
Hg 0.163 0.342 0.342

---

(3)
! Rb4Tl4Hg, relaxed, DFT PBE; values from VASP
! space-group type = No. 121
! VASP energy = -14.05 eV per formula unit
! formation enthalpy at 0 K = -0.045 eV per atom
&SYSTEM
  ibrav = 0, nat = 9, ntyp = 3
/
ATOMIC_SPECIES
Rb 85.47 Rb.upf
Tl 204.38 Tl.upf
Hg 200.59 Hg.upf
CELL_PARAMETERS angstrom
-2.232 1.398 -5.371
9.391 -8.216 -2.710
-2.786 -5.289 -0.219
ATOMIC_POSITIONS crystal
Rb 0.153 0.769 0.384
Rb 0.616 0.769 0.847
Rb 0.384 0.231 0.616
Rb 0.847 0.231 0.153
Tl 0.436 0.434 0.002
Tl 0.998 0.434 0.564
Tl 0.002 0.566 0.998
Tl 0.564 0.566 0.436
Hg 0.000 0.000 0.000

---

(4)
! Rb2TlHg2, relaxed, DFT PBE; values from VASP
! space-group type = No. 127
! VASP energy = -5.20 eV per formula unit
! formation enthalpy at 0 K = -0.060 eV per atom
&SYSTEM
  ibrav = 0, nat = 10, ntyp = 3
/
ATOMIC_SPECIES
Tl 204.38 Tl.upf
Hg 200.59 Hg.upf
Rb 85.47 Rb.upf
CELL_PARAMETERS angstrom
10.538 0.000 0.000
0.000 10.538 0.000
0.000 0.000 3.735
ATOMIC_POSITIONS crystal
Tl 0.000 0.000 0.000
Tl 0.500 0.500 0.000
Hg 0.104 0.604 0.500
Hg 0.604 0.896 0.500
Hg 0.896 0.396 0.500
Hg 0.396 0.104 0.500
Rb 0.313 0.813 0.000
Rb 0.813 0.687 0.000
Rb 0.687 0.187 0.000
Rb 0.187 0.313 0.000

---

(5)
! Rb4TlHg4, relaxed, DFT PBE; values from VASP
! space-group type = No. 86
! VASP energy = -9.04 eV per formula unit
! formation enthalpy at 0 K = -0.177 eV per atom
&SYSTEM
  ibrav = 0, nat = 18, ntyp = 3
/
ATOMIC_SPECIES
Rb 85.47 Rb.upf
Tl 204.38 Tl.upf
Hg 200.59 Hg.upf
CELL_PARAMETERS angstrom
-6.715 -2.586 -2.140
3.657 -1.450 -9.724
2.936 -9.740 2.557
ATOMIC_POSITIONS crystal
Rb 0.102 0.531 0.180
Rb 0.102 0.969 0.320
Rb 0.602 0.820 0.031
Rb 0.602 0.680 0.469
Rb 0.898 0.469 0.820
Rb 0.898 0.031 0.680
Rb 0.398 0.180 0.969
Rb 0.398 0.320 0.531
Tl 0.750 0.250 0.250
Tl 0.250 0.750 0.750
Hg 0.087 0.634 0.512
Hg 0.087 0.866 0.988
Hg 0.587 0.488 0.134
Hg 0.587 0.012 0.366
Hg 0.913 0.366 0.488
Hg 0.913 0.134 0.012
Hg 0.413 0.512 0.866
Hg 0.413 0.988 0.634

---

(6)
! Rb3Tl2Hg4, relaxed, DFT PBE; values from VASP
! space-group type = No. 12
! VASP energy = -10.60 eV per formula unit
! formation enthalpy at 0 K = -0.195 eV per atom
&SYSTEM
  ibrav = 0, nat = 9, ntyp = 3
/
ATOMIC_SPECIES
Rb 85.47 Rb.upf
Tl 204.38 Tl.upf
Hg 200.59 Hg.upf
CELL_PARAMETERS angstrom
5.461 0.000 0.000
-2.730 6.651 -0.486
0.000 -3.379 9.889
ATOMIC_POSITIONS crystal
Rb 0.624 0.249 0.690
Rb 0.000 0.000 0.000
Rb 0.376 0.751 0.310
Tl 0.670 0.340 0.333
Tl 0.330 0.660 0.667
Hg 0.734 0.468 0.069
Hg 0.266 0.532 0.931
Hg 0.896 0.792 0.580
Hg 0.104 0.208 0.420

---

(7)
! Rb2TlHg2, relaxed, DFT PBE; values from VASP
! space-group type = No. 12
! VASP energy = -5.89 eV per formula unit
! formation enthalpy at 0 K = -0.197 eV per atom
&SYSTEM
  ibrav = 0, nat = 5, ntyp = 3
/
ATOMIC_SPECIES
Rb 85.47 Rb.upf
Tl 204.38 Tl.upf
Hg 200.59 Hg.upf
CELL_PARAMETERS angstrom
-2.518 -4.262 0.000
-0.984 -2.319 6.682
-6.458 0.917 2.907
ATOMIC_POSITIONS crystal
Rb 0.297 0.202 0.702
Rb 0.703 0.798 0.298
Tl 0.500 0.500 0.000
Hg 0.000 0.230 0.270
Hg 0.000 0.770 0.730

---

(8)
! Rb2Tl4Hg9, relaxed, DFT PBE; values from VASP
! space-group type = No. 164
! VASP energy = -15.55 eV per formula unit
! formation enthalpy at 0 K = -0.095 eV per atom
&SYSTEM
  ibrav = 0, nat = 15, ntyp = 3
/
ATOMIC_SPECIES
Rb 85.47 Rb.upf
Tl 204.38 Tl.upf
Hg 200.59 Hg.upf
CELL_PARAMETERS angstrom
-4.815 1.448 1.815
0.397 -3.261 -4.217
-0.159 -16.517 12.761
ATOMIC_POSITIONS crystal
Rb 0.333 0.667 0.759
Rb 0.667 0.333 0.241
Tl 0.333 0.667 0.393
Tl 0.667 0.333 0.607
Tl 0.667 0.333 0.910
Tl 0.333 0.667 0.090
Hg 0.000 0.000 0.336
Hg 0.000 0.000 0.664
Hg 0.000 0.000 0.861
Hg 0.000 0.000 0.139
Hg 0.333 0.667 0.557
Hg 0.667 0.333 0.443
Hg 0.667 0.333 0.059
Hg 0.333 0.667 0.941
Hg 0.000 0.000 0.500

---

(9)
! RbTl12Hg6, relaxed, DFT PBE; values from VASP
! space-group type = No. 166
! VASP energy = -31.07 eV per formula unit
! formation enthalpy at 0 K = 0.005 eV per atom
&SYSTEM
  ibrav = 0, nat = 19, ntyp = 3
/
ATOMIC_SPECIES
Rb 85.47 Rb.upf
Tl 204.38 Tl.upf
Hg 200.59 Hg.upf
CELL_PARAMETERS angstrom
-5.903 2.131 -6.494
-1.856 -8.527 2.322
-2.254 5.050 7.139
ATOMIC_POSITIONS crystal
Rb 0.000 0.000 0.000
Tl 0.884 0.116 0.500
Tl 0.847 0.595 0.595
Tl 0.595 0.595 0.847
Tl 0.405 0.153 0.405
Tl 0.405 0.405 0.153
Tl 0.153 0.405 0.405
Tl 0.116 0.500 0.884
Tl 0.500 0.884 0.116
Tl 0.116 0.884 0.500
Tl 0.884 0.500 0.116
Tl 0.500 0.116 0.884
Tl 0.595 0.847 0.595
Hg 0.716 0.278 0.278
Hg 0.278 0.278 0.716
Hg 0.278 0.716 0.278
Hg 0.722 0.722 0.284
Hg 0.284 0.722 0.722
Hg 0.722 0.284 0.722

---

(10)
! RbTlHg, relaxed, DFT PBE; values from VASP
! space-group type = No. 187
! VASP energy = -4.06 eV per formula unit
! formation enthalpy at 0 K = -0.142 eV per atom
&SYSTEM
  ibrav = 0, nat = 3, ntyp = 3
/
ATOMIC_SPECIES
Tl 204.38 Tl.upf
Hg 200.59 Hg.upf
Rb 85.47 Rb.upf
CELL_PARAMETERS angstrom
4.601 0.000 0.000
0.000 5.414 0.000
0.000 -2.707 4.689
ATOMIC_POSITIONS crystal
Tl 0.167 0.333 0.667
Hg 0.167 0.000 0.000
Rb 0.667 0.667 0.333

---

(11)
! RbTlHg, relaxed, DFT PBE; values from VASP
! space-group type = No. 216
! VASP energy = -3.69 eV per formula unit
! formation enthalpy at 0 K = -0.018 eV per atom
&SYSTEM
  ibrav = 0, nat = 3, ntyp = 3
/
ATOMIC_SPECIES
Tl 204.38 Tl.upf
Hg 200.59 Hg.upf
Rb 85.47 Rb.upf
CELL_PARAMETERS angstrom
-2.575 1.153 -4.910
-4.300 -3.232 -1.769
-5.273 2.064 -0.016
ATOMIC_POSITIONS crystal
Tl 0.500 0.500 0.500
Hg 0.250 0.250 0.250
Rb 0.000 0.000 0.000

---

(12)
! RbTl3Hg, relaxed, DFT PBE; values from VASP
! space-group type = No. 8
! VASP energy = -8.88 eV per formula unit
! formation enthalpy at 0 K = -0.103 eV per atom
&SYSTEM
  ibrav = 0, nat = 5, ntyp = 3
/
ATOMIC_SPECIES
Rb 85.47 Rb.upf
Tl 204.38 Tl.upf
Hg 200.59 Hg.upf
CELL_PARAMETERS angstrom
-1.232 -3.102 4.063
5.096 -1.101 0.686
2.501 3.000 6.466
ATOMIC_POSITIONS crystal
Rb 0.406 0.210 0.893
Tl 0.649 0.951 0.408
Tl 0.148 0.453 0.408
Tl 0.787 0.591 0.131
Hg 0.017 0.821 0.671

---

(13)
! RbTl3Hg2, relaxed, DFT PBE; values from VASP
! space-group type = No. 63
! VASP energy = -9.11 eV per formula unit
! formation enthalpy at 0 K = -0.073 eV per atom
&SYSTEM
  ibrav = 0, nat = 12, ntyp = 3
/
ATOMIC_SPECIES
Rb 85.47 Rb.upf
Tl 204.38 Tl.upf
Hg 200.59 Hg.upf
CELL_PARAMETERS angstrom
6.766 0.000 0.000
0.000 7.759 0.241
0.000 -1.322 7.649
ATOMIC_POSITIONS crystal
Rb 0.250 0.364 0.364
Rb 0.750 0.636 0.636
Tl 0.750 0.418 0.111
Tl 0.750 0.111 0.418
Tl 0.250 0.582 0.889
Tl 0.750 0.989 0.989
Tl 0.250 0.011 0.011
Tl 0.250 0.889 0.582
Hg 0.500 0.755 0.245
Hg 0.000 0.755 0.245
Hg 0.000 0.245 0.755
Hg 0.500 0.245 0.755

---

(14)
! RbTlHg3, relaxed, DFT PBE; values from VASP
! space-group type = No. 221
! VASP energy = -4.42 eV per formula unit
! formation enthalpy at 0 K = -0.036 eV per atom
&SYSTEM
  ibrav = 0, nat = 5, ntyp = 3
/
ATOMIC_SPECIES
Tl 204.38 Tl.upf
Hg 200.59 Hg.upf
Rb 85.47 Rb.upf
CELL_PARAMETERS angstrom
5.912 0.000 0.000
0.000 5.912 0.000
0.000 0.000 5.912
ATOMIC_POSITIONS crystal
Tl 0.000 0.000 0.000
Hg 0.000 0.500 0.000
Hg 0.000 0.000 0.500
Hg 0.500 0.000 0.000
Rb 0.500 0.500 0.500

---

(15)
! RbTl6Hg2, relaxed, DFT PBE; values from VASP
! space-group type = No. 123
! VASP energy = -16.39 eV per formula unit
! formation enthalpy at 0 K = -0.069 eV per atom
&SYSTEM
  ibrav = 0, nat = 9, ntyp = 3
/
ATOMIC_SPECIES
Rb 85.47 Rb.upf
Tl 204.38 Tl.upf
Hg 200.59 Hg.upf
CELL_PARAMETERS angstrom
-3.221 3.046 2.649
-2.864 -4.112 1.247
6.242 -1.517 9.334
ATOMIC_POSITIONS crystal
Rb 0.000 0.000 0.000
Tl 0.000 0.500 0.299
Tl 0.500 0.000 0.299
Tl 0.000 0.500 0.701
Tl 0.500 0.000 0.701
Tl 0.500 0.500 0.500
Tl 0.000 0.000 0.500
Hg 0.500 0.500 0.132
Hg 0.500 0.500 0.868

---

(16)
! Rb3TlHg2, relaxed, DFT PBE; values from VASP
! space-group type = No. 14
! VASP energy = -6.76 eV per formula unit
! formation enthalpy at 0 K = -0.147 eV per atom
&SYSTEM
  ibrav = 0, nat = 24, ntyp = 3
/
ATOMIC_SPECIES
Rb 85.47 Rb.upf
Tl 204.38 Tl.upf
Hg 200.59 Hg.upf
CELL_PARAMETERS angstrom
-5.173 -1.666 -4.889
9.658 -0.039 -10.205
4.170 -10.238 3.985
ATOMIC_POSITIONS crystal
Rb 0.257 0.894 0.991
Rb 0.243 0.394 0.509
Rb 0.743 0.106 0.009
Rb 0.757 0.606 0.491
Rb 0.321 0.559 0.101
Rb 0.179 0.059 0.399
Rb 0.679 0.441 0.899
Rb 0.821 0.941 0.601
Rb 0.843 0.775 0.182
Rb 0.657 0.275 0.318
Rb 0.157 0.225 0.818
Rb 0.343 0.725 0.682
Tl 0.417 0.813 0.340
Tl 0.083 0.313 0.160
Tl 0.583 0.187 0.660
Tl 0.917 0.687 0.840
Hg 0.600 0.998 0.274
Hg 0.900 0.498 0.226
Hg 0.400 0.002 0.726
Hg 0.100 0.502 0.774
Hg 0.211 0.634 0.376
Hg 0.289 0.134 0.124
Hg 0.789 0.366 0.624
Hg 0.711 0.866 0.876

---

(17)
! RbTl16Hg12, relaxed, DFT PBE; values from VASP
! space-group type = No. 8
! VASP energy = -43.00 eV per formula unit
! formation enthalpy at 0 K = -0.019 eV per atom
&SYSTEM
  ibrav = 0, nat = 29, ntyp = 3
/
ATOMIC_SPECIES
Rb 85.47 Rb.upf
Tl 204.38 Tl.upf
Hg 200.59 Hg.upf
CELL_PARAMETERS angstrom
-2.399 10.161 -0.799
6.145 -2.825 -7.994
-8.577 -5.453 -0.344
ATOMIC_POSITIONS crystal
Rb 0.602 0.602 0.251
Tl 0.357 0.357 0.363
Tl 0.005 0.005 0.989
Tl 0.994 0.994 0.622
Tl 0.325 0.325 0.744
Tl 0.705 0.362 0.986
Tl 0.596 0.268 0.600
Tl 0.009 0.680 0.378
Tl 0.997 0.659 0.005
Tl 0.737 0.323 0.325
Tl 0.392 0.986 0.696
Tl 0.986 0.392 0.696
Tl 0.323 0.737 0.325
Tl 0.659 0.997 0.005
Tl 0.680 0.009 0.378
Tl 0.268 0.596 0.600
Tl 0.362 0.705 0.986
Hg 0.859 0.859 0.189
Hg 0.619 0.619 0.844
Hg 0.376 0.190 0.000
Hg 0.785 0.605 0.628
Hg 0.214 0.025 0.403
Hg 0.364 0.018 0.189
Hg 0.139 0.808 0.789
Hg 0.808 0.139 0.789
Hg 0.018 0.364 0.189
Hg 0.025 0.214 0.403
Hg 0.605 0.785 0.628
Hg 0.190 0.376 0.000

---

(18)
! Rb2Tl3Hg, relaxed, DFT PBE; values from VASP
! space-group type = No. 15
! VASP energy = -9.92 eV per formula unit
! formation enthalpy at 0 K = -0.098 eV per atom
&SYSTEM
  ibrav = 0, nat = 12, ntyp = 3
/
ATOMIC_SPECIES
Rb 85.47 Rb.upf
Tl 204.38 Tl.upf
Hg 200.59 Hg.upf
CELL_PARAMETERS angstrom
-4.604 -2.854 5.111
2.498 -5.544 -6.271
6.227 -0.267 5.460
ATOMIC_POSITIONS crystal
Rb 0.330 0.656 0.414
Rb 0.327 0.656 0.914
Rb 0.673 0.344 0.086
Rb 0.670 0.344 0.586
Tl 0.754 0.000 0.750
Tl 0.246 0.000 0.250
Tl 0.886 0.774 0.943
Tl 0.112 0.226 0.557
Tl 0.888 0.774 0.443
Tl 0.114 0.226 0.057
Hg 0.743 0.000 0.250
Hg 0.257 0.000 0.750

---

(19)
! Rb2Tl7Hg12, relaxed, DFT PBE; values from VASP
! space-group type = No. 147
! VASP energy = -23.65 eV per formula unit
! formation enthalpy at 0 K = -0.073 eV per atom
&SYSTEM
  ibrav = 0, nat = 21, ntyp = 3
/
ATOMIC_SPECIES
Rb 85.47 Rb.upf
Tl 204.38 Tl.upf
Hg 200.59 Hg.upf
CELL_PARAMETERS angstrom
-2.477 -4.924 -2.461
10.402 -4.499 -1.470
-5.751 -1.946 9.682
ATOMIC_POSITIONS crystal
Rb 0.240 0.333 0.667
Rb 0.760 0.667 0.333
Tl 0.500 0.000 0.000
Tl 0.378 0.905 0.276
Tl 0.378 0.371 0.095
Tl 0.378 0.724 0.629
Tl 0.622 0.095 0.724
Tl 0.622 0.629 0.905
Tl 0.622 0.276 0.371
Hg 0.179 0.614 0.070
Hg 0.179 0.456 0.386
Hg 0.179 0.930 0.544
Hg 0.821 0.386 0.930
Hg 0.821 0.544 0.614
Hg 0.821 0.070 0.456
Hg 0.142 0.136 0.254
Hg 0.142 0.119 0.864
Hg 0.142 0.746 0.881
Hg 0.858 0.864 0.746
Hg 0.858 0.881 0.136
Hg 0.858 0.254 0.119

---

(20)
! Rb2TlHg6, relaxed, DFT PBE; values from VASP
! space-group type = No. 164
! VASP energy = -8.01 eV per formula unit
! formation enthalpy at 0 K = -0.211 eV per atom
&SYSTEM
  ibrav = 0, nat = 9, ntyp = 3
/
ATOMIC_SPECIES
Rb 85.47 Rb.upf
Tl 204.38 Tl.upf
Hg 200.59 Hg.upf
CELL_PARAMETERS angstrom
0.034 -1.174 -7.223
-0.667 -5.636 4.620
-6.514 0.659 -0.138
ATOMIC_POSITIONS crystal
Rb 0.667 0.333 0.846
Rb 0.333 0.667 0.154
Tl 0.000 0.000 0.000
Hg 0.366 0.183 0.342
Hg 0.817 0.634 0.342
Hg 0.817 0.183 0.342
Hg 0.634 0.817 0.658
Hg 0.183 0.366 0.658
Hg 0.183 0.817 0.658